Entry 1
The following is a PBE calculation of a geometry-optimized TcTe3O structure, from Alexandria via LeMat-Bulk.

The space group is Pm-3m (No. 221) and the conventional cell measures 5.1359, 5.1359 and 5.1359 Å, with angles of 90.00, 90.00 and 90.00 degrees. The asymmetric unit holds Tc at (0.0000, 0.0000, 0.0000), Te at (0.0000, 0.0000, 0.5000) and O at (0.5000, 0.5000, 0.5000).

Entry 2
The following is a PBE calculation of a geometry-optimized TcTe3O structure, from Alexandria via LeMat-Bulk.

The space group is Pm-3m (No. 221) and the conventional cell measures 4.6802, 4.6802 and 4.6802 Å, with angles of 90.00, 90.00 and 90.00 degrees. The asymmetric unit holds Tc at (0.0000, 0.0000, 0.0000), Te at (0.0000, 0.5000, 0.5000) and O at (0.5000, 0.5000, 0.5000).

On energetic grounds, entry 2 is preferred over the next structure by 21.7 kJ/mol of atoms.

Entry 1
The following is a PBE calculation of a geometry-optimized TiTcO2 structure, from Alexandria via LeMat-Bulk.

The space group is R-3m (No. 166, hexagonal axes) and the conventional cell measures 2.8215, 2.8215 and 19.3768 Å, with angles of 90.00, 90.00 and 120.00 degrees. The asymmetric unit holds Ti at (0.0000, 0.0000, 0.0000), Tc at (0.0000, 0.0000, 0.5000) and O at (0.0000, 0.0000, 0.3939).

Entry 2
The following is a PBE calculation of a geometry-optimized TiTcO2 structure, from Alexandria via LeMat-Bulk.

The space group is I-42d (No. 122) and the conventional cell measures 4.0008, 4.0008 and 11.7062 Å, with angles of 90.00, 90.00 and 90.00 degrees. The asymmetric unit holds Ti at (0.0000, 0.0000, 0.0000), Tc at (0.0000, 0.0000, 0.5000) and O at (0.2382, 0.2500, 0.1250).

On energetic grounds, entry 1 is preferred over the next structure by 33.5 kJ/mol of atoms.

Entry 1
The following is a PBE calculation of a geometry-optimized Tl3TcO structure, from Alexandria via LeMat-Bulk.

The space group is Pm-3m (No. 221) and the conventional cell measures 4.8724, 4.8724 and 4.8724 Å, with angles of 90.00, 90.00 and 90.00 degrees. The asymmetric unit holds Tl at (0.0000, 0.0000, 0.5000), Tc at (0.5000, 0.5000, 0.5000) and O at (0.0000, 0.0000, 0.0000).

Entry 2
The following is a PBE calculation of a geometry-optimized Tl3TcO structure, from Alexandria via LeMat-Bulk.

The space group is Pm-3m (No. 221) and the conventional cell measures 5.3236, 5.3236 and 5.3236 Å, with angles of 90.00, 90.00 and 90.00 degrees. The asymmetric unit holds Tl at (0.0000, 0.0000, 0.5000), Tc at (0.0000, 0.0000, 0.0000) and O at (0.5000, 0.5000, 0.5000).

On energetic grounds, entry 1 is preferred over the next structure by 12.1 kJ/mol of atoms.

Entry 1
The following is a PBE calculation of a geometry-optimized TlTcO2 structure, from Alexandria via LeMat-Bulk.

The space group is R-3m (No. 166, hexagonal axes) and the conventional cell measures 3.0053, 3.0053 and 22.6705 Å, with angles of 90.00, 90.00 and 120.00 degrees. The asymmetric unit holds Tl at (0.0000, 0.0000, 0.0000), Tc at (0.0000, 0.0000, 0.5000) and O at (0.0000, 0.0000, 0.1140).

Entry 2
The following is a PBE calculation of a geometry-optimized TlTcO2 structure, from Alexandria via LeMat-Bulk.

The space group is Fd-3m (No. 227, origin choice 2) and the conventional cell measures 9.6846, 9.6846 and 9.6846 Å, with angles of 90.00, 90.00 and 90.00 degrees. The asymmetric unit holds Tl at (0.0000, 0.0000, 0.0000), Tc at (0.0000, 0.0000, 0.5000) and O at (0.0320, 0.0320, 0.7180).

Entry 3
The following is a PBE calculation of a geometry-optimized TlTcO2 structure, from Alexandria via LeMat-Bulk.

The space group is R-3m (No. 166, hexagonal axes) and the conventional cell measures 3.1096, 3.1096 and 23.0096 Å, with angles of 90.00, 90.00 and 120.00 degrees. The asymmetric unit holds Tl at (0.0000, 0.0000, 0.0000), Tc at (0.0000, 0.0000, 0.5000) and O at (0.0000, 0.0000, 0.4229).

On energetic grounds, entry 1 is preferred over the next structure by 13.7 kJ/mol of atoms.

Entry 1
The following is a PBE calculation of a geometry-optimized TlTcO2 structure, from Alexandria via LeMat-Bulk.

The space group is Fm-3m (No. 225) and the conventional cell measures 5.8554, 5.8554 and 5.8554 Å, with angles of 90.00, 90.00 and 90.00 degrees. The asymmetric unit holds Tl at (0.0000, 0.0000, 0.0000), Tc at (0.0000, 0.0000, 0.5000) and O at (0.2500, 0.2500, 0.2500).

Entry 2
The following is a PBE calculation of a geometry-optimized TlTcO2 structure, from Alexandria via LeMat-Bulk.

The space group is I-42d (No. 122) and the conventional cell measures 5.3121, 5.3121 and 10.4409 Å, with angles of 90.00, 90.00 and 90.00 degrees. The asymmetric unit holds Tl at (0.0000, 0.0000, 0.0000), Tc at (0.0000, 0.0000, 0.5000) and O at (0.0923, 0.2500, 0.6250).

On energetic grounds, entry 2 is preferred over the next structure by 87.0 kJ/mol of atoms.

Entry 1
The following is a PBE calculation of a geometry-optimized Tl2TcO structure, from Alexandria via LeMat-Bulk.

The space group is Fm-3m (No. 225) and the conventional cell measures 6.7280, 6.7280 and 6.7280 Å, with angles of 90.00, 90.00 and 90.00 degrees. The asymmetric unit holds Tl at (0.2500, 0.2500, 0.2500), Tc at (0.0000, 0.0000, 0.0000) and O at (0.0000, 0.0000, 0.5000).

Entry 2
The following is a PBE calculation of a geometry-optimized Tl2TcO structure, from Alexandria via LeMat-Bulk.

The space group is I-42d (No. 122) and the conventional cell measures 6.8782, 6.8782 and 6.6726 Å, with angles of 90.00, 90.00 and 90.00 degrees. The asymmetric unit holds Tl at (0.1996, 0.2500, 0.1250), Tc at (0.0000, 0.0000, 0.5000) and O at (0.0000, 0.0000, 0.0000).

On energetic grounds, entry 2 is preferred over the next structure by 29.6 kJ/mol of atoms.